No. 1
# CaSm6Tm

CaSm6Tm after structural relaxation (PBE-GGA, the Alexandria database).

Results
calculated formation energy = 0.051 eV per atom
space group = P4/mmm (123)

a = 5.1319 Å, b = 5.1319 Å, c = 10.2870 Å
α = 90.00°, β = 90.00°, γ = 90.00°
Last column: nearest neighbours and their distance in Å.
Sites, in units of the cell vectors:
Ca  0.0000  0.0000  0.0000  12 Sm 3.63-3.69
Sm  0.0000  0.5000  0.2581  8 Sm 3.57-3.69, 2 Tm 3.57, 2 Ca 3.69
Sm  0.0000  0.5000  0.7419  8 Sm 3.57-3.69, 2 Tm 3.57, 2 Ca 3.69
Sm  0.5000  0.0000  0.2581  8 Sm 3.57-3.69, 2 Tm 3.57, 2 Ca 3.69
Sm  0.5000  0.0000  0.7419  8 Sm 3.57-3.69, 2 Tm 3.57, 2 Ca 3.69
Sm  0.5000  0.5000  0.0000  4 Ca 3.63, 8 Sm 3.69
Sm  0.5000  0.5000  0.5000  8 Sm 3.57, 4 Tm 3.63
Tm  0.0000  0.0000  0.5000  12 Sm 3.57-3.63

=====

No. 2
# Zn2TcSe

Zn2TcSe after structural relaxation (PBE-GGA, the Alexandria database).

Results
space group = I-42d (122)
excess energy over the best structure of this formula in the dataset = 36.7 kJ/mol of atoms

a = 7.3563 Å, b = 7.3563 Å, c = 5.0969 Å
α = 90.00°, β = 90.00°, γ = 90.00°
Last column: nearest neighbours and their distance in Å.
Sites, in units of the cell vectors:
Zn  0.2441  0.2500  0.1250  2 Zn 2.55, 2 Se 2.65, 2 Tc 2.71
Zn  0.2500  0.7441  0.3750  2 Zn 2.55, 2 Se 2.65, 2 Tc 2.71
Zn  0.2500  0.7559  0.8750  2 Zn 2.55, 2 Se 2.65, 2 Tc 2.71
Zn  0.2559  0.2500  0.6250  2 Zn 2.55, 2 Se 2.65, 2 Tc 2.71
Zn  0.7441  0.7500  0.6250  2 Zn 2.55, 2 Se 2.65, 2 Tc 2.71
Zn  0.7500  0.2441  0.8750  2 Zn 2.55, 2 Se 2.65, 2 Tc 2.71
Zn  0.7500  0.2559  0.3750  2 Zn 2.55, 2 Se 2.65, 2 Tc 2.71
Zn  0.7559  0.7500  0.1250  2 Zn 2.55, 2 Se 2.65, 2 Tc 2.71
Tc  0.0000  0.0000  0.5000  2 Se 2.55, 4 Zn 2.71
Tc  0.0000  0.5000  0.7500  2 Se 2.55, 4 Zn 2.71
Tc  0.5000  0.0000  0.2500  2 Se 2.55, 4 Zn 2.71
Tc  0.5000  0.5000  0.0000  2 Se 2.55, 4 Zn 2.71
Se  0.0000  0.0000  0.0000  2 Tc 2.55, 4 Zn 2.65
Se  0.0000  0.5000  0.2500  2 Tc 2.55, 4 Zn 2.65
Se  0.5000  0.0000  0.7500  2 Tc 2.55, 4 Zn 2.65
Se  0.5000  0.5000  0.5000  2 Tc 2.55, 4 Zn 2.65

=====

No. 3
# PtRhBr2

PtRhBr2 after structural relaxation (PBE-GGA, the Alexandria database).

Results
space group = P4/mmm (123)
excess energy over the best structure of this formula in the dataset = 76.1 kJ/mol of atoms

a = 3.2886 Å, b = 3.2886 Å, c = 6.7384 Å
α = 90.00°, β = 90.00°, γ = 90.00°
Last column: nearest neighbours and their distance in Å.
Sites, in units of the cell vectors:
Pt  0.0000  0.0000  0.0000  8 Br 2.92
Rh  0.0000  0.0000  0.5000  8 Br 2.82
Br  0.5000  0.5000  0.2626  4 Rh 2.82, 4 Pt 2.92
Br  0.5000  0.5000  0.7374  4 Rh 2.82, 4 Pt 2.92

=====

No. 4
# BaMg2Zr

BaMg2Zr after structural relaxation (PBE-GGA, the Alexandria database).

Results
calculated formation energy = 0.306 eV per atom
space group = R-3m (166)
excess energy over the best structure of this formula in the dataset = 16.4 kJ/mol of atoms

a = 3.4210 Å, b = 3.4210 Å, c = 33.8913 Å
α = 90.00°, β = 90.00°, γ = 120.00°
Last column: nearest neighbours and their distance in Å.
Sites, in units of the cell vectors:
Ba  0.0000  0.0000  0.0000  6 Ba 3.42, 6 Mg 3.72
Ba  0.3333  0.6667  0.6667  6 Ba 3.42, 6 Mg 3.72
Ba  0.6667  0.3333  0.3333  6 Ba 3.42, 6 Mg 3.72
Mg  0.0000  0.0000  0.2405  3 Zr 3.19, 6 Mg 3.42
Mg  0.0000  0.0000  0.7595  3 Zr 3.19, 6 Mg 3.42
Mg  0.3333  0.6667  0.4262  3 Zr 3.19, 6 Mg 3.42
Mg  0.3333  0.6667  0.9071  3 Zr 3.19, 6 Mg 3.42
Mg  0.6667  0.3333  0.0929  3 Zr 3.19, 6 Mg 3.42
Mg  0.6667  0.3333  0.5738  3 Zr 3.19, 6 Mg 3.42
Zr  0.0000  0.0000  0.5000  6 Mg 3.19, 6 Zr 3.42
Zr  0.3333  0.6667  0.1667  6 Mg 3.19, 6 Zr 3.42
Zr  0.6667  0.3333  0.8333  6 Mg 3.19, 6 Zr 3.42

=====

No. 5
# RuAuCl2

RuAuCl2 after structural relaxation (PBE-GGA, the Alexandria database).

Results
space group = P4/mmm (123)
excess energy over the best structure of this formula in the dataset = 65.7 kJ/mol of atoms

a = 4.8199 Å, b = 4.8199 Å, c = 3.2818 Å
α = 90.00°, β = 90.00°, γ = 90.00°
Last column: nearest neighbours and their distance in Å.
Sites, in units of the cell vectors:
Ru  0.0000  0.0000  0.0000  8 Cl 2.92
Au  0.5000  0.5000  0.0000  8 Cl 2.92
Cl  0.0000  0.5000  0.5000  4 Ru 2.92, 4 Au 2.92
Cl  0.5000  0.0000  0.5000  4 Ru 2.92, 4 Au 2.92

=====

No. 6
# HfFeBi2Se

HfFeBi2Se after structural relaxation (PBE-GGA, the Alexandria database).

Results
space group = P4/mmm (123)
excess energy over the best structure of this formula in the dataset = 0.0 kJ/mol of atoms

a = 5.6091 Å, b = 5.6091 Å, c = 4.3176 Å
α = 90.00°, β = 90.00°, γ = 90.00°
Last column: nearest neighbours and their distance in Å.
Sites, in units of the cell vectors:
Hf  0.0000  0.0000  0.0000  8 Bi 3.54
Fe  0.5000  0.5000  0.0000  2 Se 2.16
Bi  0.0000  0.5000  0.5000  2 Se 2.80
Bi  0.5000  0.0000  0.5000  2 Se 2.80
Se  0.5000  0.5000  0.5000  2 Fe 2.16

=====

No. 7
# Rb3CaNp3Se8

Rb3CaNp3Se8 after structural relaxation (PBE-GGA, the Alexandria database).

Results
space group = R-3m (166)
calculated total energy = -6.09 eV/atom

a = 9.4220 Å, b = 9.4220 Å, c = 9.4220 Å
α = 53.46°, β = 53.46°, γ = 53.46°
Last column: nearest neighbours and their distance in Å.
Sites, in units of the cell vectors:
Rb  0.0000  0.5000  0.5000  6 Se 3.47-3.53
Rb  0.5000  0.0000  0.5000  6 Se 3.47-3.53
Rb  0.5000  0.5000  0.0000  6 Se 3.47-3.53
Ca  0.5000  0.5000  0.5000  6 Se 2.98
Np  0.0000  0.0000  0.5000  6 Se 2.85-2.90
Np  0.0000  0.5000  0.0000  6 Se 2.85-2.90
Np  0.5000  0.0000  0.0000  6 Se 2.85-2.90
Se  0.2163  0.7375  0.7375  2 Np 2.85, 1 Ca 2.98
Se  0.2313  0.2313  0.2313  3 Np 2.90
Se  0.2625  0.2625  0.7837  2 Np 2.85, 1 Ca 2.98
Se  0.2625  0.7837  0.2625  2 Np 2.85, 1 Ca 2.98
Se  0.7375  0.2163  0.7375  2 Np 2.85, 1 Ca 2.98
Se  0.7375  0.7375  0.2163  2 Np 2.85, 1 Ca 2.98
Se  0.7687  0.7687  0.7687  3 Np 2.90
Se  0.7837  0.2626  0.2625  2 Np 2.85, 1 Ca 2.98

=====

No. 8
# Cs2RbHg

Cs2RbHg after structural relaxation (PBE-GGA, the Alexandria database).

Results
calculated formation energy = -0.100 eV per atom
space group = P4/mmm (123)
excess energy over the best structure of this formula in the dataset = 2.3 kJ/mol of atoms

a = 4.8494 Å, b = 4.8494 Å, c = 12.3721 Å
α = 90.00°, β = 90.00°, γ = 90.00°
Last column: nearest neighbours and their distance in Å.
Sites, in units of the cell vectors:
Cs  0.0000  0.0000  0.1824  4 Hg 4.10, 1 Cs 4.51
Cs  0.0000  0.0000  0.8176  4 Hg 4.10, 1 Cs 4.51
Rb  0.5000  0.5000  0.5000  4 Rb 4.85, 8 Cs 5.22
Hg  0.5000  0.5000  0.0000  8 Cs 4.10

=====

No. 9
# SrUTlI6

SrUTlI6 after structural relaxation (PBE-GGA, the Alexandria database).

Results
space group = P-31c (163)
calculated total energy = -3.81 eV/atom

a = 8.2653 Å, b = 8.2653 Å, c = 15.2290 Å
α = 90.00°, β = 90.00°, γ = 120.00°
Last column: nearest neighbours and their distance in Å.
Sites, in units of the cell vectors:
Sr  0.3333  0.6667  0.2500  6 I 3.30
Sr  0.6667  0.3333  0.7500  6 I 3.30
U  0.3333  0.6667  0.7500  6 I 3.14
U  0.6667  0.3333  0.2500  6 I 3.14
Tl  0.0000  0.0000  0.0000  6 I 3.57
Tl  0.0000  0.0000  0.5000  6 I 3.57
I  0.0148  0.3668  0.6303  1 U 3.14, 1 Sr 3.30
I  0.0148  0.6481  0.8697  1 U 3.14, 1 Sr 3.30
I  0.3519  0.3668  0.8697  1 U 3.14, 1 Sr 3.30
I  0.3519  0.9852  0.6303  1 U 3.14, 1 Sr 3.30
I  0.3668  0.0148  0.1303  1 U 3.14, 1 Sr 3.30
I  0.3668  0.3519  0.3697  1 U 3.14, 1 Sr 3.30
I  0.6332  0.6481  0.6303  1 U 3.14, 1 Sr 3.30
I  0.6332  0.9852  0.8697  1 U 3.14, 1 Sr 3.30
I  0.6481  0.0148  0.3697  1 U 3.14, 1 Sr 3.30
I  0.6481  0.6332  0.1303  1 U 3.14, 1 Sr 3.30
I  0.9852  0.3519  0.1303  1 U 3.14, 1 Sr 3.30
I  0.9852  0.6332  0.3697  1 U 3.14, 1 Sr 3.30

=====

No. 10
# Pr4HoAl4

Pr4HoAl4 after structural relaxation (PBE-GGA, the Alexandria database).

Results
calculated formation energy = -0.148 eV per atom
space group = P4_2/n (86)

a = 8.9518 Å, b = 8.9518 Å, c = 6.1010 Å
α = 90.00°, β = 90.00°, γ = 90.00°
Last column: nearest neighbours and their distance in Å.
Sites, in units of the cell vectors:
Pr  0.0768  0.8239  0.1255  1 Ho 3.09, 4 Al 3.19-3.41, 1 Pr 3.37
Pr  0.1761  0.5768  0.6255  1 Ho 3.09, 4 Al 3.19-3.41, 1 Pr 3.37
Pr  0.3239  0.9232  0.6255  1 Ho 3.09, 4 Al 3.19-3.41, 1 Pr 3.37
Pr  0.4232  0.6761  0.1255  1 Ho 3.09, 4 Al 3.19-3.41, 1 Pr 3.37
Pr  0.5768  0.3239  0.8745  1 Ho 3.09, 4 Al 3.19-3.41, 1 Pr 3.37
Pr  0.6761  0.0768  0.3745  1 Ho 3.09, 4 Al 3.19-3.41, 1 Pr 3.37
Pr  0.8239  0.4232  0.3745  1 Ho 3.09, 4 Al 3.19-3.41, 1 Pr 3.37
Pr  0.9232  0.1761  0.8745  1 Ho 3.09, 4 Al 3.19-3.41, 1 Pr 3.37
Ho  0.2500  0.2500  0.7500  4 Al 3.03, 4 Pr 3.09
Ho  0.7500  0.7500  0.2500  4 Al 3.03, 4 Pr 3.09
Al  0.0649  0.1613  0.3556  2 Al 2.90, 1 Ho 3.03, 2 Pr 3.19-3.20
Al  0.1613  0.4351  0.1444  2 Al 2.90, 1 Ho 3.03, 2 Pr 3.19-3.20
Al  0.3387  0.0649  0.1444  2 Al 2.90, 1 Ho 3.03, 2 Pr 3.19-3.20
Al  0.4351  0.3387  0.3556  2 Al 2.90, 1 Ho 3.03, 2 Pr 3.19-3.20
Al  0.5649  0.6613  0.6444  2 Al 2.90, 1 Ho 3.03, 2 Pr 3.19-3.20
Al  0.6613  0.9351  0.8556  2 Al 2.90, 1 Ho 3.03, 2 Pr 3.19-3.20
Al  0.8387  0.5649  0.8556  2 Al 2.90, 1 Ho 3.03, 2 Pr 3.19-3.20
Al  0.9351  0.8387  0.6444  2 Al 2.90, 1 Ho 3.03, 2 Pr 3.19-3.20

=====

No. 11
# RbCa2CrP

RbCa2CrP after structural relaxation (PBE-GGA, the Alexandria database).

Results
calculated formation energy = 1.410 eV per atom
space group = P4/mmm (123)

a = 5.9660 Å, b = 5.9660 Å, c = 5.4385 Å
α = 90.00°, β = 90.00°, γ = 90.00°
Last column: nearest neighbours and their distance in Å.
Sites, in units of the cell vectors:
Rb  0.0000  0.0000  0.0000  2 P 2.72, 4 Ca 2.98
Ca  0.0000  0.5000  0.0000  2 Rb 2.98
Ca  0.5000  0.0000  0.0000  2 Rb 2.98
Cr  0.5000  0.5000  0.5000  8 Ca 4.04, 4 P 4.22
P  0.0000  0.0000  0.5000  2 Rb 2.72

=====

No. 12
# PrAgTeSe

PrAgTeSe after structural relaxation (PBE-GGA, the Alexandria database).

Results
space group = R-3m (166)
calculated total energy = -4.65 eV/atom

a = 12.2321 Å, b = 12.2321 Å, c = 12.2321 Å
α = 22.56°, β = 22.56°, γ = 22.56°
Last column: nearest neighbours and their distance in Å.
Sites, in units of the cell vectors:
Pr  0.1108  0.1108  0.1108  4 Se 2.91-3.07
Pr  0.8892  0.8892  0.8892  4 Se 2.91-3.07
Ag  0.3058  0.3058  0.3058  4 Te 2.91-2.92
Ag  0.6942  0.6942  0.6942  4 Te 2.91-2.92
Te  0.3872  0.3872  0.3872  4 Ag 2.91-2.92
Te  0.6128  0.6128  0.6128  4 Ag 2.91-2.92
Se  0.1966  0.1966  0.1966  4 Pr 2.91-3.07
Se  0.8034  0.8034  0.8034  4 Pr 2.91-3.07

=====

Number 1: mass density 6.811 g/cm3, magnetization 0.000 Bohr magnetons per cell. Number 2: mass density 7.412 g/cm3, magnetization 7.883 Bohr magnetons per cell. Number 3: mass density 10.431 g/cm3, magnetization 0.000 Bohr magnetons per cell. Number 4: mass density 4.020 g/cm3, magnetization 1.810 Bohr magnetons per cell. Number 5: mass density 8.036 g/cm3, magnetization 3.128 Bohr magnetons per cell. Number 6: mass density 8.939 g/cm3, magnetization 2.094 Bohr magnetons per cell. Number 7: mass density 5.434 g/cm3, magnetization 10.000 Bohr magnetons per cell. Number 8: mass density 3.150 g/cm3, magnetization 0.000 Bohr magnetons per cell. Number 9: mass density 4.760 g/cm3, magnetization 6.000 Bohr magnetons per cell. Number 10: mass density 5.682 g/cm3, magnetization 0.000 Bohr magnetons per cell. Number 11: mass density 2.133 g/cm3, magnetization 4.593 Bohr magnetons per cell. Number 12: mass density 6.402 g/cm3, magnetization 0.000 Bohr magnetons per cell.